# 1
## Ba2CoCu (PBEsol)

Data for a relaxed structure of Ba2CoCu.

abc: 4.3095 4.3095 8.1548
angles: 74.68 74.68 60.00
Closest atoms and distances in Å follow each position.
Fractional coordinates of all 4 atoms:
1 Ba 0.7554 0.7554 0.7339  3 Co 3.08, 3 Cu 3.23
2 Ba 0.2446 0.2446 0.2661  3 Co 3.08, 3 Cu 3.23
3 Co 0.5000 0.5000 0.5000  6 Ba 3.08
4 Cu 0.0000 0.0000 0.0000  6 Ba 3.23

Properties
ρ	5280	kg/m3
energy above the lowest structure with this stoichiometry	0.172	eV per atom
total magnetization	0.66	μB per formula unit
SG	R-3m (166)
VASP energy	-13.9	eV for the cell shown

---

# 2
## KGaP2O (PBEsol)

Data for a relaxed structure of KGaP2O.

abc: 4.3798 5.3159 5.3159
angles: 90.00 90.00 90.00
Closest atoms and distances in Å follow each position.
Fractional coordinates of all 5 atoms:
1 P 0.0000 0.0000 0.5000  2 K 2.66
2 P 0.0000 0.5000 0.0000  2 K 2.66
3 K 0.0000 0.0000 0.0000  2 O 2.19
4 O 0.5000 0.0000 0.0000  2 K 2.19
5 Ga 0.5000 0.5000 0.5000  8 P 3.44, 4 O 3.76

Properties
ρ	2506	kg/m3
total magnetization	2.88	μB per formula unit
raw formation energy	1.521	eV/atom
SG	P4/mmm (123)
VASP energy	-13.7	eV for the cell shown

---

# 3
## FeB3W (PBEsol)

Data for a relaxed structure of FeB3W.

abc: 3.6400 3.6400 3.6400
angles: 90.00 90.00 90.00
Closest atoms and distances in Å follow each position.
Fractional coordinates of all 5 atoms:
1 B 0.5000 0.0000 0.0000  2 Fe 1.82
2 B 0.0000 0.5000 0.0000  2 Fe 1.82
3 B 0.0000 0.0000 0.5000  2 Fe 1.82
4 W 0.5000 0.5000 0.5000  12 B 2.57
5 Fe 0.0000 0.0000 0.0000  6 B 1.82

Properties
ρ	9369	kg/m3
total magnetization	0.83	μB per formula unit
SG	Pm-3m (221)
VASP energy	-38.9	eV for the cell shown

---

# 4
## BN (PBEsol)

Data for a relaxed structure of BN.

abc: 2.5510 2.5510 2.5510
angles: 60.00 60.00 60.00
Closest atoms and distances in Å follow each position.
Fractional coordinates of all 2 atoms:
1 N 0.7500 0.7500 0.7500  4 B 1.56
2 B 0.0000 0.0000 0.0000  4 N 1.56

Properties
ρ	3511	kg/m3
energy above the lowest structure with this stoichiometry	0.000	eV per atom
total magnetization	0.00	μB per formula unit
raw formation energy	-1.402	eV/atom
SG	F-43m (216)
VASP energy	-18.3	eV for the cell shown